HoTm3Cu2, relaxed, DFT PBE-GGA; calculated density = 9.4 g cm⁻³; E_tot = -54.6 eV/cell; ΔE to the lowest computed polymorph = 0.00 eV per formula unit; DOS(E_F) = 12.144 states/eV/cell
1.0
4.838 0.000 0.000
0.000 8.583 0.000
0.000 0.000 6.824
Ho Tm Cu
2 6 4
Cartesian
0.000 0.648 0.000
0.000 7.935 3.412
0.000 2.862 4.287
0.000 5.721 0.875
2.419 1.441 2.321
2.419 3.653 6.602
2.419 4.930 3.190
2.419 7.142 5.733
0.000 3.008 1.541
0.000 5.575 4.953
2.419 1.299 5.069
2.419 7.284 1.656